# ZnW2O4 (GGA+U, relaxed)
# * mass density: 9.0 g cm⁻³
# * energy above the lowest structure with this stoichiometry: 0.3042 eV per atom
# * symmetry: Imma (74)
# * total DFT energy (no corrections): -89.1 eV per cell
data_ZnW2O4
_chemical_formula_sum 'Zn2 W4 O8'
_cell_length_a 6.347
_cell_length_b 6.347
_cell_length_c 6.347
_cell_angle_alpha 120.48
_cell_angle_beta 117.34
_cell_angle_gamma 91.92
_space_group_name_H-M_alt 'P 1'
_space_group_IT_number 1
_space_group_name_Hall 'P 1'
loop_
_atom_site_label
_atom_site_type_symbol
_atom_site_fract_x
_atom_site_fract_y
_atom_site_fract_z
_atom_site_occupancy
Zn1 Zn 0.000 0.000 0.000 1
Zn2 Zn 0.500 0.000 0.500 1
W1 W 0.000 0.000 0.500 1
W2 W 0.000 0.500 0.000 1
W3 W 0.400 0.650 0.750 1
W4 W 0.600 0.350 0.250 1
O1 O 0.220 0.247 0.973 1
O2 O 0.225 0.753 0.473 1
O3 O 0.247 0.231 0.484 1
O4 O 0.247 0.763 0.016 1
O5 O 0.753 0.237 0.984 1
O6 O 0.753 0.769 0.516 1
O7 O 0.775 0.247 0.527 1
O8 O 0.780 0.753 0.027 1